(1)
Compound: PdSCl
Source: Alexandria via LeMat-Bulk
Functional: PBEsol
Structure: relaxed

Energy relative to the elements, uncorrected: -0.415 eV/atom

Lattice parameters (Å, degrees): 8.754 9.137 16.049 90.00 121.77 90.00
Space group P2_1/c (No. 14)
Asymmetric unit:
Pd1 0.036 0.195 0.018 x4
Pd2 0.079 0.096 0.684 x4
Pd3 0.281 0.085 0.476 x4
Pd4 0.326 0.623 0.143 x4
S1 0.121 0.728 0.408 x4
S2 0.270 0.246 0.670 x4
S3 0.355 0.655 0.012 x4
S4 0.429 0.104 0.641 x4
Cl1 0.140 0.039 0.307 x4
Cl2 0.221 0.164 0.954 x4
Cl3 0.224 0.638 0.632 x4
Cl4 0.310 0.570 0.281 x4

(2)
Compound: KSi
Source: Alexandria via LeMat-Bulk
Functional: PBEsol
Structure: relaxed

Energy relative to the elements, uncorrected: -0.064 eV/atom
Energy above the most stable polymorph in this dataset: 0.000 eV/atom

Lattice parameters (Å, degrees): 10.445 10.445 16.991 90.00 90.00 90.00
Space group I4_1/acd (No. 142, origin choice 2)
Asymmetric unit:
K1 0.122 0.128 0.125 x16
K2 0.142 0.000 0.750 x16
Si1 0.061 0.151 0.925 x32

(3)
Compound: Os2RuRh
Source: Alexandria via LeMat-Bulk
Functional: PBEsol
Structure: relaxed

Energy above the most stable polymorph in this dataset: 0.003 eV/atom

Lattice parameters (Å, degrees): 2.680 2.680 7.627 90.00 90.00 90.00
Space group P4mm (No. 99)
Asymmetric unit:
Os1 0.000 0.000 0.000 x1
Os2 0.500 0.500 0.250 x1
Ru1 0.500 0.500 0.753 x1
Rh1 0.000 0.000 0.502 x1

(4)
Compound: Ag3Hg4
Source: Alexandria via LeMat-Bulk
Functional: PBEsol
Structure: relaxed

Calculated total energy: -0.0624 Ha/atom

Lattice parameters (Å, degrees): 3.605 3.605 21.055 90.00 90.00 90.00
Space group I4/mmm (No. 139)
Asymmetric unit:
Ag1 0.000 0.000 0.000 x2
Ag2 0.000 0.000 0.283 x4
Hg1 0.000 0.000 0.148 x4
Hg2 0.000 0.000 0.429 x4

(5)
Compound: MgCu2WSe
Source: Alexandria via LeMat-Bulk
Functional: PBEsol
Structure: relaxed

Energy relative to the elements, uncorrected: 1.316 eV/atom

Lattice parameters (Å, degrees): 4.434 4.434 4.829 90.00 90.00 90.00
Space group P4/mmm (No. 123)
Asymmetric unit:
Mg1 0.000 0.000 0.000 x1
Cu1 0.000 0.500 0.500 x2
W1 0.500 0.500 0.000 x1
Se1 0.000 0.000 0.500 x1

(6)
Compound: LiMg2Ru
Source: Alexandria via LeMat-Bulk
Functional: PBEsol
Structure: relaxed

Calculated total energy: -0.1399 Ha/atom

Lattice parameters (Å, degrees): 3.189 3.189 6.591 90.00 90.00 90.00
Space group P4/mmm (No. 123)
Asymmetric unit:
Li1 0.000 0.000 0.000 x1
Mg1 0.500 0.500 0.280 x2
Ru1 0.000 0.000 0.500 x1

(7)
Compound: SrCu2P
Source: Alexandria via LeMat-Bulk
Functional: PBEsol
Structure: relaxed

Calculated total energy: -0.1465 Ha/atom

Lattice parameters (Å, degrees): 6.547 6.547 6.547 90.00 90.00 90.00
Space group F-43m (No. 216)
Asymmetric unit:
Sr1 0.000 0.000 0.000 x4
Cu1 0.000 0.000 0.500 x4
Cu2 0.250 0.250 0.750 x4
P1 0.250 0.250 0.250 x4

(8)
Compound: TbInNi
Source: Alexandria via LeMat-Bulk
Functional: PBEsol
Structure: relaxed

Calculated total energy: -0.1931 Ha/atom

Lattice parameters (Å, degrees): 7.3222 7.3222 3.7655 90.00 90.00 120.00
Space group P-62m (No. 189)
Asymmetric unit:
Tb1 0.0000 0.5883 0.0000 x3
In1 0.0000 0.2533 0.5000 x3
Ni1 0.0000 0.0000 0.0000 x1
Ni2 0.3333 0.6667 0.5000 x2

(9)
Compound: ZrMo2O8
Source: Alexandria via LeMat-Bulk
Functional: PBEsol
Structure: relaxed

Energy relative to the elements, uncorrected: -2.358 eV/atom
Energy above the most stable polymorph in this dataset: 0.014 eV/atom

Lattice parameters (Å, degrees): 10.1209 10.1209 12.1488 90.00 90.00 120.00
Space group P-31c (No. 163)
Asymmetric unit:
Zr1 0.0000 0.0000 0.0000 x2
Zr2 0.3333 0.6667 0.0213 x4
Mo1 0.0136 0.3411 0.6457 x12
O1 0.0007 0.1680 0.5984 x12
O2 0.0393 0.3567 0.7844 x12
O3 0.1629 0.4965 0.1164 x12
O4 0.1650 0.5009 0.5772 x12

(10)
Compound: CuSiRh2
Source: Alexandria via LeMat-Bulk
Functional: PBEsol
Structure: relaxed

Energy relative to the elements, uncorrected: -0.275 eV/atom

Lattice parameters (Å, degrees): 2.735 3.603 5.159 90.00 90.00 90.00
Space group Pmm2 (No. 25)
Asymmetric unit:
Cu1 0.000 0.000 0.000 x1
Si1 0.500 0.500 0.731 x1
Rh1 0.000 0.000 0.516 x1
Rh2 0.500 0.500 0.206 x1

(11)
Compound: BeCuRh2
Source: Alexandria via LeMat-Bulk
Functional: PBEsol
Structure: relaxed

Calculated total energy: -0.2339 Ha/atom

Lattice parameters (Å, degrees): 2.750 2.750 6.080 90.00 90.00 90.00
Space group P4/mmm (No. 123)
Asymmetric unit:
Be1 0.000 0.000 0.000 x1
Cu1 0.000 0.000 0.500 x1
Rh1 0.500 0.500 0.221 x2

(12)
Compound: ZrTl2Os
Source: Alexandria via LeMat-Bulk
Functional: PBEsol
Structure: relaxed

Energy above the most stable polymorph in this dataset: 0.252 eV/atom

Lattice parameters (Å, degrees): 4.347 4.347 8.278 90.00 90.00 90.00
Space group I-4m2 (No. 119)
Asymmetric unit:
Zr1 0.000 0.000 0.000 x2
Tl1 0.000 0.000 0.500 x2
Tl2 0.000 0.500 0.750 x2
Os1 0.000 0.500 0.250 x2

Number 1: magnetic moment 0.00 μB per atom. Number 2: magnetic moment 0.00 μB per atom. Number 3: magnetic moment 0.00 μB per atom. Number 4: magnetic moment 0.00 μB per atom. Number 5: magnetic moment 0.67 μB per atom. Number 6: magnetic moment 0.00 μB per atom. Number 7: magnetic moment 0.00 μB per atom. Number 8: magnetic moment 0.00 μB per atom. Number 9: magnetic moment 0.00 μB per atom. Number 10: magnetic moment 0.00 μB per atom. Number 11: magnetic moment 0.00 μB per atom. Number 12: magnetic moment 0.00 μB per atom.